No. 1
Below is crystalline Pm5Y4Tm3 at its relaxed geometry, with properties calculated at the PBE level.

a b c (Å): 5.737 5.768 14.197
angles (deg): 84.45 78.34 60.18
Fractional coordinates of all 12 atoms:
Pm 0.668 0.666 0.998
Pm 0.500 0.500 0.500
Pm 0.201 0.340 0.258
Pm 0.799 0.660 0.742
Pm 0.332 0.334 0.002
Y 0.064 0.000 0.873
Y 0.185 0.998 0.633
Y 0.815 0.002 0.367
Y 0.936 0.000 0.127
Tm 0.458 0.338 0.746
Tm 0.000 0.500 0.500
Tm 0.542 0.662 0.254

Crystal system   monoclinic
SG   C2/m, No. 12
Total DFT energy (no corrections)   -5.0227 eV/atom
Energy relative to the elements   0.229 eV per atom


No. 2
Below is crystalline NdMg2GaCu2 at its relaxed geometry, with properties calculated at the PBE level.

a b c (Å): 4.943 4.943 6.400
angles (deg): 112.72 112.72 90.00
Fractional coordinates of all 6 atoms:
Nd 0.500 0.500 0.000
Mg 0.250 0.750 0.500
Mg 0.750 0.250 0.500
Ga 0.000 0.000 0.000
Cu 0.784 0.784 0.568
Cu 0.216 0.216 0.432

Crystal system   tetragonal
SG   I4/mmm, No. 139
Total DFT energy (no corrections)   -3.2205 eV/atom
Energy relative to the elements   -0.024 eV per atom


No. 3
Below is crystalline K2LiTlBr6 at its relaxed geometry, with properties calculated at the PBE level.

a b c (Å): 7.770 7.770 7.770
angles (deg): 60.00 60.00 60.00
Fractional coordinates of all 10 atoms:
K 0.750 0.750 0.750
K 0.250 0.250 0.250
Li 0.500 0.500 0.500
Tl 0.000 0.000 0.000
Br 0.747 0.253 0.253
Br 0.253 0.253 0.747
Br 0.253 0.747 0.747
Br 0.253 0.747 0.253
Br 0.747 0.253 0.747
Br 0.747 0.747 0.253

Excess energy over the best structure of this formula in the dataset   3.7 kJ/mol of atoms
Crystal system   cubic
SG   Fm-3m, No. 225
ΔE_f (raw)   -1151 meV/atom
Total DFT energy (no corrections)   -2.8020 eV/atom


No. 4
Below is crystalline YAl6Cu12 at its relaxed geometry, with properties calculated at the PBE level.

a b c (Å): 6.824 6.824 6.824
angles (deg): 104.18 104.18 104.18
Fractional coordinates of all 19 atoms:
Y 0.000 0.000 0.000
Al 0.701 0.285 0.285
Al 0.285 0.285 0.701
Al 0.285 0.701 0.285
Al 0.715 0.715 0.299
Al 0.299 0.715 0.715
Al 0.715 0.299 0.715
Cu 0.888 0.112 0.500
Cu 0.878 0.625 0.625
Cu 0.625 0.625 0.878
Cu 0.375 0.122 0.375
Cu 0.375 0.375 0.122
Cu 0.122 0.375 0.375
Cu 0.112 0.500 0.888
Cu 0.500 0.888 0.112
Cu 0.112 0.888 0.500
Cu 0.888 0.500 0.112
Cu 0.500 0.112 0.888
Cu 0.625 0.878 0.625

Crystal system   trigonal
SG   R-3m, No. 166
Total DFT energy (no corrections)   -4.1990 eV/atom
Energy relative to the elements   -0.090 eV per atom


- What is the total DFT energy (no corrections) in the second record?
  -3.2205 eV/atom